1.
PdF2: optimized geometry, PBE-GGA.

Cell lengths 4.9402, 4.9402, 3.4907 Å; angles 90.00, 90.00, 90.00 degrees
Atoms (fractional coordinates):
Pd1 0.5000 0.5000 0.5000
Pd2 0.0000 0.0000 0.0000
F1 0.3049 0.3049 0.0000
F2 0.1951 0.8049 0.5000
F3 0.6951 0.6951 0.0000
F4 0.8049 0.1951 0.5000

Computed properties:
**Uncorrected formation energy**: -1.085 eV per atom
**Uncorrected energy**: -24.384 eV per cell
**Size of the total moment**: 0.000 μB per atom

=====

2.
NaMgZnPb: optimized geometry, PBE-GGA.

Cell lengths 5.1017, 5.1017, 5.1017 Å; angles 60.00, 60.00, 60.00 degrees
Atoms (fractional coordinates):
Mg1 0.7500 0.7500 0.7500
Zn1 0.0000 0.0000 0.0000
Pb1 0.5000 0.5000 0.5000
Na1 0.2500 0.2500 0.2500

Computed properties:
**Uncorrected energy**: -7.903 eV per cell
**Formation enthalpy at 0 K**: -0.002 eV per atom
**Size of the total moment**: 0.000 μB per atom

=====

3.
Li2AgBiCl6: optimized geometry, PBE-GGA.

Cell lengths 6.7347, 6.7357, 7.2515 Å; angles 62.30, 62.37, 59.97 degrees
Atoms (fractional coordinates):
Ag1 0.8073 0.8076 0.5778
Cl1 0.3850 0.7410 0.7493
Cl2 0.8967 0.6189 0.2475
Cl3 0.7408 0.1250 0.7492
Cl4 0.6190 0.2366 0.2480
Cl5 0.2371 0.8964 0.2476
Cl6 0.1243 0.3852 0.7494
Bi1 0.3216 0.3216 0.0350
Li1 0.0066 0.0065 0.9798
Li2 0.5233 0.5226 0.4317

Computed properties:
**Uncorrected formation energy**: -1.197 eV per atom
**Uncorrected energy**: -33.608 eV per cell
**Size of the total moment**: 0.000 μB per atom

=====

4.
ZrInSn: optimized geometry, PBE-GGA.

Cell lengths 4.2466, 4.2466, 7.9992 Å; angles 90.00, 90.00, 90.00 degrees
Atoms (fractional coordinates):
Sn1 0.3364 0.3364 0.5000
Sn2 0.8364 0.8364 0.5000
Zr1 0.8365 0.3365 0.7908
Zr2 0.3365 0.8365 0.2092
In1 0.8365 0.3365 0.1593
In2 0.3365 0.8365 0.8407

Computed properties:
**Uncorrected energy**: -31.148 eV per cell
**Polymorph energy (0 for the lowest one)**: 24.91 kJ per mole of atoms
**Formation enthalpy at 0 K**: -0.095 eV per atom
**Size of the total moment**: 0.000 μB per atom

=====

Number 4 is which compound?
ZrInSn

=====

What is the uncorrected energy in the third record?
-33.608 eV per cell

=====

Number 1 is which compound?
PdF2

=====

Number 1 is which compound?
PdF2